Record 1
TlCrCl4: relaxed, PBE.

a b c (Å): 6.056 6.587 8.356
angles (deg): 104.57 111.24 90.00
Each line ends with the local moment (μB).
Atoms (fractional coordinates):
Tl1 0.805 0.750 0.000  0.01
Tl2 0.195 0.250 0.000  0.01
Cr1 0.500 0.000 0.500  2.85
Cr2 0.000 0.500 0.500  2.85
Cl1 0.521 0.066 0.791  0.00
Cl2 0.731 0.434 0.209  0.00
Cl3 0.479 0.934 0.209  0.00
Cl4 0.269 0.566 0.791  0.00
Cl5 0.864 0.836 0.595  -0.04
Cl6 0.268 0.664 0.405  -0.04
Cl7 0.136 0.164 0.405  -0.04
Cl8 0.732 0.336 0.595  -0.04

Output
For the polymorph energy (0 for the lowest one), the calculation gives 0 kJ/mol of formula units. Its space group is C2/c, No. 15. For the spin magnetization, the calculation gives 6.00 μB/cell. The value obtained for the uncorrected formation energy is -6.2 eV/f.u.

Record 2
Tl2CrCl6: relaxed, PBE.

a b c (Å): 3.439 8.704 8.704
angles (deg): 120.00 90.00 90.00
Each line ends with the local moment (μB).
Atoms (fractional coordinates):
Tl1 0.500 0.333 0.667  0.00
Tl2 0.500 0.667 0.333  0.00
Cr1 0.000 0.000 0.000  2.93
Cl1 0.500 0.000 0.802  -0.07
Cl2 0.500 0.802 0.000  -0.07
Cl3 0.500 0.198 0.198  -0.07
Cl4 0.000 0.542 0.542  -0.01
Cl5 0.000 0.458 0.000  -0.01
Cl6 0.000 0.000 0.458  -0.01

Output
For the polymorph energy (0 for the lowest one), the calculation gives 218 kJ/mol of formula units. Its space group is P-62m, No. 189. For the spin magnetization, the calculation gives 2.91 μB/cell. The value obtained for the uncorrected formation energy is -6.5 eV/f.u.